## Ac2Ga12Cu (PBE)

Data for an optimized crystal structure of Ac2Ga12Cu.

Output
ΔH_f (0 K)   -0.354 eV/atom
Density of states at the Fermi level   0.289 states/eV per atom
M_tot   0.0 μB/f.u.

```
data_Ac2Ga12Cu
_chemical_formula_sum 'Ac4 Ga24 Cu2'
_symmetry_space_group_name_H-M 'P 4/n b m'
_symmetry_Int_Tables_number 125
_cell_length_a 6.310
_cell_length_b 6.310
_cell_length_c 15.626
_cell_angle_alpha 90.00
_cell_angle_beta 90.00
_cell_angle_gamma 90.00
loop_
_symmetry_equiv_pos_as_xyz
'x,y,z'
'-x,-y,-z'
'-y+1/2,x,z'
'y+1/2,-x,-z'
'-x+1/2,-y+1/2,z'
'x+1/2,y+1/2,-z'
'y,-x+1/2,z'
'-y,x+1/2,-z'
'x,-y+1/2,-z'
'-x,y+1/2,z'
'-y+1/2,-x+1/2,-z'
'y+1/2,x+1/2,z'
'-x+1/2,y,-z'
'x+1/2,-y,z'
'y,x,-z'
'-y,-x,z'
loop_
_atom_site_label
_atom_site_fract_x
_atom_site_fract_y
_atom_site_fract_z
_atom_site_occupancy
Ac1 0.250 0.750 0.246 1
Ga1 0.000 0.000 0.083 1
Ga2 0.074 0.574 0.431 1
Ga3 0.250 0.250 0.177 1
Ga4 0.250 0.250 0.343 1
Cu1 0.250 0.750 0.000 1
```

***

## BaTc2P (PBE)

Data for an optimized crystal structure of BaTc2P.

Output
ΔH_f (0 K)   0.670 eV/atom
Density of states at the Fermi level   1.053 states/eV per atom
M_tot   0.0 μB/f.u.

```
data_BaTc2P
_chemical_formula_sum 'Ba2 Tc4 P2'
_symmetry_space_group_name_H-M 'I m m 2'
_symmetry_Int_Tables_number 44
_symmetry_space_group_name_Hall 'I 2 -2'
_cell_length_a 3.198
_cell_length_b 5.929
_cell_length_c 9.522
_cell_angle_alpha 90.00
_cell_angle_beta 90.00
_cell_angle_gamma 90.00
loop_
_atom_site_label
_atom_site_fract_x
_atom_site_fract_y
_atom_site_fract_z
_atom_site_occupancy
Ba1 0.000 0.000 0.000 1
Tc1 0.000 0.000 0.521 1
Tc2 0.000 0.500 0.831 1
P1 0.000 0.500 0.216 1
```

***

## ZnFe2Au (PBE)

Data for an optimized crystal structure of ZnFe2Au.

Output
ΔH_f (0 K)   0.204 eV/atom
Density of states at the Fermi level   1.022 states/eV per atom
M_tot   5.1 μB/f.u.

```
data_ZnFe2Au
_chemical_formula_sum 'Zn3 Fe6 Au3'
_symmetry_space_group_name_H-M 'R -3 m'
_symmetry_Int_Tables_number 166
_symmetry_space_group_name_Hall '-R 3 2"'
_cell_length_a 2.7288
_cell_length_b 2.7288
_cell_length_c 26.5123
_cell_angle_alpha 90.00
_cell_angle_beta 90.00
_cell_angle_gamma 120.00
loop_
_atom_site_label
_atom_site_fract_x
_atom_site_fract_y
_atom_site_fract_z
_atom_site_occupancy
Zn1 0.0000 0.0000 0.0000 1
Fe1 0.0000 0.0000 0.2536 1
Au1 0.0000 0.0000 0.5000 1
```

***

## NdDy3Er (PBE)

Data for an optimized crystal structure of NdDy3Er.

Output
ΔH_f (0 K)   0.292 eV/atom
Energy above the most stable polymorph in this dataset   0.2774 eV per atom
Density of states at the Fermi level   1.556 states/eV per atom
M_tot   0.0 μB/f.u.

```
data_NdDy3Er
_chemical_formula_sum 'Nd2 Dy6 Er2'
_symmetry_space_group_name_H-M 'P 1 21/m 1'
_symmetry_Int_Tables_number 11
_symmetry_space_group_name_Hall '-P 2yb'
_cell_length_a 3.609
_cell_length_b 11.538
_cell_length_c 8.564
_cell_angle_alpha 90.00
_cell_angle_beta 101.70
_cell_angle_gamma 90.00
loop_
_atom_site_label
_atom_site_fract_x
_atom_site_fract_y
_atom_site_fract_z
_atom_site_occupancy
Nd1 0.066 0.250 0.483 1
Dy1 0.162 0.000 0.814 1
Dy2 0.339 0.250 0.136 1
Er1 0.313 0.750 0.180 1
```

***

## Pm2Y5HoSc (PBE)

Data for an optimized crystal structure of Pm2Y5HoSc.

Output
ΔH_f (0 K)   0.151 eV/atom
Density of states at the Fermi level   1.564 states/eV per atom
M_tot   0.0 μB/f.u.

```
data_Pm2Y5HoSc
_chemical_formula_sum 'Pm8 Y20 Ho4 Sc4'
_symmetry_space_group_name_H-M 'C m c 21'
_symmetry_Int_Tables_number 36
_symmetry_space_group_name_Hall 'C 2c -2'
_cell_length_a 5.554
_cell_length_b 20.283
_cell_length_c 10.333
_cell_angle_alpha 90.00
_cell_angle_beta 90.00
_cell_angle_gamma 90.00
loop_
_atom_site_label
_atom_site_fract_x
_atom_site_fract_y
_atom_site_fract_z
_atom_site_occupancy
Pm1 0.000 0.111 0.000 1
Pm2 0.000 0.116 0.579 1
Y1 0.000 0.016 0.300 1
Y2 0.000 0.270 0.981 1
Y3 0.000 0.299 0.614 1
Y4 0.000 0.367 0.293 1
Y5 0.000 0.483 0.575 1
Ho1 0.000 0.406 0.862 1
Sc1 0.000 0.191 0.296 1
```

***

## Pm3MgIn2 (PBE)

Data for an optimized crystal structure of Pm3MgIn2.

Output
ΔH_f (0 K)   -0.367 eV/atom
Energy above the most stable polymorph in this dataset   0.0226 eV per atom
Density of states at the Fermi level   0.973 states/eV per atom
M_tot   0.0 μB/f.u.

```
data_Pm3MgIn2
_chemical_formula_sum 'Pm3 Mg1 In2'
_symmetry_space_group_name_H-M 'P 4/m m m'
_symmetry_Int_Tables_number 123
_symmetry_space_group_name_Hall '-P 4 2'
_cell_length_a 3.832
_cell_length_b 3.832
_cell_length_c 11.699
_cell_angle_alpha 90.00
_cell_angle_beta 90.00
_cell_angle_gamma 90.00
loop_
_atom_site_label
_atom_site_fract_x
_atom_site_fract_y
_atom_site_fract_z
_atom_site_occupancy
Pm1 0.000 0.000 0.000 1
Pm2 0.000 0.000 0.336 1
Mg1 0.500 0.500 0.500 1
In1 0.500 0.500 0.173 1
```

***

## Sb2PbAuI (PBE)

Data for an optimized crystal structure of Sb2PbAuI.

Output
Energy above the most stable polymorph in this dataset   0.0000 eV per atom
Density of states at the Fermi level   1.149 states/eV per atom
E_form (uncorrected)   408 meV per atom
M_tot   0.4 μB/f.u.

```
data_Sb2PbAuI
_chemical_formula_sum 'Sb2 Pb1 Au1 I1'
_symmetry_space_group_name_H-M 'P 4/m m m'
_symmetry_Int_Tables_number 123
_symmetry_space_group_name_Hall '-P 4 2'
_cell_length_a 5.411
_cell_length_b 5.411
_cell_length_c 5.750
_cell_angle_alpha 90.00
_cell_angle_beta 90.00
_cell_angle_gamma 90.00
loop_
_atom_site_label
_atom_site_fract_x
_atom_site_fract_y
_atom_site_fract_z
_atom_site_occupancy
Sb1 0.000 0.500 0.000 1
Pb1 0.000 0.000 0.500 1
Au1 0.500 0.500 0.000 1
I1 0.500 0.500 0.500 1
```

***

## SbAs2Pt (PBE)

Data for an optimized crystal structure of SbAs2Pt.

Output
Density of states at the Fermi level   0.359 states/eV per atom
E_form (uncorrected)   41 meV per atom
M_tot   0.0 μB/f.u.

```
data_SbAs2Pt
_chemical_formula_sum 'Sb1 As2 Pt1'
_symmetry_space_group_name_H-M 'P 1 m 1'
_symmetry_Int_Tables_number 6
_symmetry_space_group_name_Hall 'P -2y'
_cell_length_a 2.944
_cell_length_b 4.938
_cell_length_c 6.791
_cell_angle_alpha 90.00
_cell_angle_beta 102.49
_cell_angle_gamma 90.00
loop_
_atom_site_label
_atom_site_fract_x
_atom_site_fract_y
_atom_site_fract_z
_atom_site_occupancy
Sb1 0.000 0.000 0.000 1
As1 0.201 0.000 0.413 1
As2 0.271 0.500 0.538 1
Pt1 0.922 0.500 0.841 1
```

***

## Ce2Zn2SnRh5 (PBE)

Data for an optimized crystal structure of Ce2Zn2SnRh5.

Output
ΔH_f (0 K)   -0.649 eV/atom
Density of states at the Fermi level   0.448 states/eV per atom
M_tot   0.3 μB/f.u.

```
data_Ce2Zn2SnRh5
_chemical_formula_sum 'Ce4 Zn4 Sn2 Rh10'
_symmetry_space_group_name_H-M 'P 4/m b m'
_symmetry_Int_Tables_number 127
_symmetry_space_group_name_Hall '-P 4 2ab'
_cell_length_a 9.684
_cell_length_b 9.684
_cell_length_c 3.732
_cell_angle_alpha 90.00
_cell_angle_beta 90.00
_cell_angle_gamma 90.00
loop_
_atom_site_label
_atom_site_fract_x
_atom_site_fract_y
_atom_site_fract_z
_atom_site_occupancy
Ce1 0.175 0.325 0.000 1
Zn1 0.121 0.621 0.000 1
Sn1 0.000 0.000 0.000 1
Rh1 0.000 0.500 0.500 1
Rh2 0.076 0.795 0.500 1
```

***

## SrAcPd (PBE)

Data for an optimized crystal structure of SrAcPd.

Output
ΔH_f (0 K)   -0.530 eV/atom
Energy above the most stable polymorph in this dataset   0.0079 eV per atom
Density of states at the Fermi level   0.657 states/eV per atom
M_tot   0.0 μB/f.u.

```
data_SrAcPd
_chemical_formula_sum 'Sr2 Ac2 Pd2'
_symmetry_space_group_name_H-M 'P 4/n m m'
_symmetry_Int_Tables_number 129
_cell_length_a 6.133
_cell_length_b 6.133
_cell_length_c 6.219
_cell_angle_alpha 90.00
_cell_angle_beta 90.00
_cell_angle_gamma 90.00
loop_
_symmetry_equiv_pos_as_xyz
'x,y,z'
'-x,-y,-z'
'-y+1/2,x,z'
'y+1/2,-x,-z'
'-x+1/2,-y+1/2,z'
'x+1/2,y+1/2,-z'
'y,-x+1/2,z'
'-y,x+1/2,-z'
'x+1/2,-y,-z'
'-x+1/2,y,z'
'-y,-x,-z'
'y,x,z'
'-x,y+1/2,-z'
'x,-y+1/2,z'
'y+1/2,x+1/2,-z'
'-y+1/2,-x+1/2,z'
loop_
_atom_site_label
_atom_site_fract_x
_atom_site_fract_y
_atom_site_fract_z
_atom_site_occupancy
Sr1 0.250 0.250 0.001 1
Ac1 0.250 0.750 0.500 1
Pd1 0.250 0.250 0.501 1
```

***

## NaNbAl2Pb (PBE)

Data for an optimized crystal structure of NaNbAl2Pb.

Output
ΔH_f (0 K)   1.377 eV/atom
Density of states at the Fermi level   0.727 states/eV per atom
M_tot   2.2 μB/f.u.

```
data_NaNbAl2Pb
_chemical_formula_sum 'Na1 Nb1 Al2 Pb1'
_symmetry_space_group_name_H-M 'P 4/m m m'
_symmetry_Int_Tables_number 123
_symmetry_space_group_name_Hall '-P 4 2'
_cell_length_a 4.957
_cell_length_b 4.957
_cell_length_c 5.115
_cell_angle_alpha 90.00
_cell_angle_beta 90.00
_cell_angle_gamma 90.00
loop_
_atom_site_label
_atom_site_fract_x
_atom_site_fract_y
_atom_site_fract_z
_atom_site_occupancy
Na1 0.000 0.000 0.000 1
Nb1 0.000 0.000 0.500 1
Al1 0.000 0.500 0.000 1
Pb1 0.500 0.500 0.500 1
```

***

## PrIn2Pd (PBE)

Data for an optimized crystal structure of PrIn2Pd.

Output
ΔH_f (0 K)   -0.628 eV/atom
Density of states at the Fermi level   0.680 states/eV per atom
M_tot   0.0 μB/f.u.

```
data_PrIn2Pd
_chemical_formula_sum 'Pr8 In16 Pd8'
_symmetry_space_group_name_H-M 'P n m a'
_symmetry_Int_Tables_number 62
_symmetry_space_group_name_Hall '-P 2ac 2n'
_cell_length_a 17.247
_cell_length_b 7.533
_cell_length_c 5.861
_cell_angle_alpha 90.00
_cell_angle_beta 90.00
_cell_angle_gamma 90.00
loop_
_atom_site_label
_atom_site_fract_x
_atom_site_fract_y
_atom_site_fract_z
_atom_site_occupancy
Pr1 0.106 0.250 0.226 1
Pr2 0.145 0.750 0.472 1
In1 0.033 0.049 0.736 1
In2 0.216 0.551 0.966 1
Pd1 0.074 0.750 0.994 1
Pd2 0.171 0.250 0.716 1
```